{
  "formula": "Cs3Hg2Au2",
  "functional": "PBE",
  "state": "optimized geometry",
  "delta_e_f_ev_per_atom": -0.29,
  "magmom_total_mub_per_atom": 0.000,
  "polymorph_energy_ev_per_atom": 0.000,
  "sg": "C2/m",
  "lattice": [[5.007, 0.000, 0.000], [-2.504, 6.164, -2.719], [0.000, 0.015, 9.713]],
  "species": ["Cs", "Cs", "Cs", "Au", "Au", "Hg", "Hg"],
  "fractional_positions": [[0.698, 0.396, 0.662], [0.500, 0.000, 0.000], [0.302, 0.604, 0.338], [0.802, 0.604, 0.069], [0.198, 0.396, 0.931], [0.989, 0.978, 0.668], [0.011, 0.022, 0.332]]
}